Compound: Pm4AsCCl2
Source: the Alexandria database
Functional: PBE
Structure: optimized geometry

Calculated values
formation energy (no corrections)	-980	kJ/mol of formula units
Fermi-level density of states	0.387	states/eV per atom

Structure (CIF):
```
data_Pm4AsCCl2
_chemical_formula_sum 'Pm4 As1 C1 Cl2'
_cell_length_a 7.0719
_cell_length_b 3.9437
_cell_length_c 7.3187
_cell_angle_alpha 90.00
_cell_angle_beta 108.25
_cell_angle_gamma 90.00
_symmetry_space_group_name_H-M 'P 1 2/m 1'
_symmetry_Int_Tables_number 10
_symmetry_space_group_name_Hall '-P 2y'
loop_
_atom_site_label
_atom_site_fract_x
_atom_site_fract_y
_atom_site_fract_z
Pm1 0.2058 0.0000 0.1994
Pm2 0.2264 0.5000 0.7921
As1 0.5000 0.0000 0.0000
C1 0.0000 0.5000 0.0000
Cl1 0.0000 0.0000 0.5000
Cl2 0.5000 0.5000 0.5000
```

---

Compound: AsCSCl2
Source: the Alexandria database
Functional: PBE
Structure: optimized geometry

Calculated values
relative energy among the computed polymorphs	0.000	eV/atom
formation energy (no corrections)	579	kJ/mol of formula units
Fermi-level density of states	0.635	states/eV per atom

Structure (CIF):
```
data_AsCSCl2
_chemical_formula_sum 'As1 C1 S1 Cl2'
_cell_length_a 4.3166
_cell_length_b 4.3166
_cell_length_c 4.3221
_cell_angle_alpha 90.00
_cell_angle_beta 90.00
_cell_angle_gamma 90.00
_symmetry_space_group_name_H-M 'P 4/m m m'
_symmetry_Int_Tables_number 123
_symmetry_space_group_name_Hall '-P 4 2'
loop_
_atom_site_label
_atom_site_fract_x
_atom_site_fract_y
_atom_site_fract_z
As1 0.0000 0.0000 0.0000
C1 0.5000 0.5000 0.5000
S1 0.5000 0.5000 0.0000
Cl1 0.0000 0.5000 0.5000
```